(1)
Entry from Alexandria: HgRu2Rh at its PBEsol-relaxed geometry (meta-GGA SCAN).

magnetization	0.7	μB per formula unit
raw total energy	-42.50	eV per atom
formation energy from the elements	0.39	eV/atom

```
HgRu2Rh
1.0
-0.759 2.131 1.582
-2.998 -3.542 0.921
3.504 -1.081 3.139
Hg Rh Ru
1 1 2
Cartesian
1.400 0.516 2.386
0.931 -2.098 3.272
0.041 -0.026 0.055
-1.254 -0.359 2.289
```

(2)
Entry from Alexandria: HgRu2Rh at its PBEsol-relaxed geometry (meta-GGA SCAN).

magnetization	0.0	μB per formula unit
raw total energy	-42.39	eV per atom
formation energy from the elements	0.51	eV/atom

```
HgRu2Rh
1.0
2.760 0.000 0.000
0.000 4.554 0.000
-1.380 -2.277 4.848
Hg Rh Ru
1 1 2
Cartesian
1.380 0.000 0.000
0.000 2.277 0.000
0.000 0.000 2.668
1.380 2.277 2.181
```

(3)
Entry from Alexandria: HgRu2Rh at its PBEsol-relaxed geometry (meta-GGA SCAN).

magnetization	2.3	μB per formula unit
raw total energy	-42.30	eV per atom
formation energy from the elements	0.59	eV/atom

```
HgRu2Rh
1.0
2.728 -0.003 0.000
-1.340 2.376 0.000
0.000 0.000 9.409
Hg Rh Ru
1 1 2
Cartesian
0.694 1.186 4.704
0.694 1.186 0.000
0.000 0.000 7.201
0.000 0.000 2.207
```

(4)
Entry from Alexandria: HgRu2Rh at its PBEsol-relaxed geometry (meta-GGA SCAN).

magnetization	0.0	μB per formula unit
raw total energy	-42.56	eV per atom
formation energy from the elements	0.33	eV/atom

```
HgRu2Rh
1.0
2.765 0.000 0.000
0.000 3.747 0.000
0.000 0.000 5.746
Ru Hg Rh
2 1 1
Cartesian
1.382 0.000 0.062
0.000 1.874 1.247
1.382 0.000 2.887
0.000 1.874 4.423
```

(5)
Entry from Alexandria: HgRu2Rh at its PBEsol-relaxed geometry (meta-GGA SCAN).

magnetization	0.0	μB per formula unit
raw total energy	-42.36	eV per atom
formation energy from the elements	0.53	eV/atom

```
HgRu2Rh
1.0
-0.117 2.661 -0.735
0.477 -1.213 -4.465
-4.870 -1.044 2.186
Rh Ru Hg
1 2 1
Cartesian
-2.263 -0.777 -2.453
-0.073 -0.005 -0.006
-2.201 1.184 -0.557
-4.663 -0.318 -0.412
```

(6)
Entry from Alexandria: HgRuRh2 at its PBEsol-relaxed geometry (meta-GGA SCAN).

magnetization	2.2	μB per formula unit
raw total energy	-42.26	eV per atom
formation energy from the elements	0.38	eV/atom

```
HgRuRh2
1.0
3.820 0.000 0.000
0.000 3.944 0.000
0.000 0.000 3.944
Rh Ru Hg
2 1 1
Cartesian
0.000 1.972 0.000
0.000 0.000 1.972
1.910 1.972 1.972
1.910 0.000 0.000
```

The ρ results, record by record, are as follows: 14.1 13.8 13.8 14.1 13.8 14.2 g/cm³.